(a)
! ZrC3O | the Alexandria database | PBE | relaxed; values from VASP
! total magnetic moment = 0.00 μB per formula unit
&SYSTEM
  ibrav = 0, nat = 5, ntyp = 3
/
ATOMIC_SPECIES
C 12.01 C.upf
O 16.00 O.upf
Zr 91.22 Zr.upf
ATOMIC_POSITIONS crystal
C 0.0000 0.5000 0.0000
C 0.0000 0.0000 0.5000
C 0.5000 0.0000 0.0000
O 0.0000 0.0000 0.0000
Zr 0.5000 0.5000 0.5000
CELL_PARAMETERS angstrom
-2.1891 -0.1526 -2.9068
2.7891 -1.1507 -2.0401
-0.8329 -3.4522 0.8084

(b)
! ZrC3O | the Alexandria database | PBE | relaxed; values from VASP
! total magnetic moment = 2.30 μB per formula unit
&SYSTEM
  ibrav = 0, nat = 5, ntyp = 3
/
ATOMIC_SPECIES
C 12.01 C.upf
O 16.00 O.upf
Zr 91.22 Zr.upf
ATOMIC_POSITIONS crystal
C 0.0000 0.5000 0.0000
C 0.0000 0.0000 0.5000
C 0.5000 0.0000 0.0000
O 0.5000 0.5000 0.5000
Zr 0.0000 0.0000 0.0000
CELL_PARAMETERS angstrom
-3.4183 0.3122 2.7245
-2.7414 -0.2762 -3.4079
-0.0711 -4.3625 0.4107

Relative energies, eV/atom: (a) 0.000; (b) 0.954.

(a)
! OsC | the Alexandria database | PBE | relaxed; values from VASP
! total magnetic moment = 0.00 μB per formula unit
&SYSTEM
  ibrav = 0, nat = 4, ntyp = 2
/
ATOMIC_SPECIES
C 12.01 C.upf
Os 190.23 Os.upf
ATOMIC_POSITIONS crystal
C 0.0000 0.0000 0.9680
C 0.0000 0.5000 0.3653
Os 0.5000 0.0000 0.4148
Os 0.5000 0.5000 0.9186
CELL_PARAMETERS angstrom
-2.6733 0.1963 0.3480
-0.4100 -3.1179 -1.3909
0.3820 -1.8168 3.9602

(b)
! OsC | the Alexandria database | PBE | relaxed; values from VASP
! total magnetic moment = 0.00 μB per formula unit
&SYSTEM
  ibrav = 0, nat = 16, ntyp = 2
/
ATOMIC_SPECIES
Os 190.23 Os.upf
C 12.01 C.upf
ATOMIC_POSITIONS crystal
Os 0.7890 0.3384 0.5000
Os 0.2110 0.6616 0.5000
Os 0.6616 0.7890 0.5000
Os 0.3384 0.2110 0.5000
Os 0.8672 0.5959 0.0000
Os 0.1328 0.4041 0.0000
Os 0.4041 0.8672 0.0000
Os 0.5959 0.1328 0.0000
C 0.7458 0.5727 0.5000
C 0.2542 0.4273 0.5000
C 0.4273 0.7458 0.5000
C 0.5727 0.2542 0.5000
C 0.9111 0.3242 0.0000
C 0.0889 0.6758 0.0000
C 0.6758 0.9111 0.0000
C 0.3242 0.0889 0.0000
CELL_PARAMETERS angstrom
8.3469 0.0000 0.0000
0.0000 8.3469 0.0000
0.0000 0.0000 3.4555

Relative energies, eV/atom: (a) 0.579; (b) 0.000.

(a)
! OsC | the Alexandria database | PBE | relaxed; values from VASP
! total magnetic moment = 0.00 μB per formula unit
&SYSTEM
  ibrav = 0, nat = 4, ntyp = 2
/
ATOMIC_SPECIES
Os 190.23 Os.upf
C 12.01 C.upf
ATOMIC_POSITIONS crystal
Os 0.3333 0.6667 0.7281
Os 0.6667 0.3333 0.2281
C 0.3333 0.6667 0.3539
C 0.6667 0.3333 0.8539
CELL_PARAMETERS angstrom
-1.5226 1.5397 2.4694
-0.6534 -3.1589 -0.6174
3.8972 -1.4527 3.3087

(b)
! OsC | the Alexandria database | PBE | relaxed; values from VASP
! total magnetic moment = 0.00 μB per formula unit
&SYSTEM
  ibrav = 0, nat = 4, ntyp = 2
/
ATOMIC_SPECIES
C 12.01 C.upf
Os 190.23 Os.upf
ATOMIC_POSITIONS crystal
C 0.0000 0.0000 0.0000
C 0.2500 0.7500 0.5000
Os 0.5000 0.5000 0.0000
Os 0.7500 0.2500 0.5000
CELL_PARAMETERS angstrom
-1.8781 -5.6296 1.9645
-0.2832 -5.9871 -1.7761
2.9220 5.4790 0.7224

(c)
! OsC | the Alexandria database | PBE | relaxed; values from VASP
! total magnetic moment = 0.00 μB per formula unit
&SYSTEM
  ibrav = 0, nat = 16, ntyp = 2
/
ATOMIC_SPECIES
Os 190.23 Os.upf
C 12.01 C.upf
ATOMIC_POSITIONS crystal
Os 0.3482 0.3482 0.3482
Os 0.3482 0.6518 0.6518
Os 0.6518 0.3482 0.6518
Os 0.6518 0.6518 0.3482
Os 0.8482 0.8482 0.8482
Os 0.8482 0.1518 0.1518
Os 0.1518 0.8482 0.1518
Os 0.1518 0.1518 0.8482
C 0.1699 0.1699 0.1699
C 0.1699 0.8301 0.8301
C 0.8301 0.1699 0.8301
C 0.8301 0.8301 0.1699
C 0.6699 0.6699 0.6699
C 0.6699 0.3301 0.3301
C 0.3301 0.6699 0.3301
C 0.3301 0.3301 0.6699
CELL_PARAMETERS angstrom
6.3325 0.0000 0.0000
0.0000 6.3325 0.0000
0.0000 0.0000 6.3325

(d)
! OsC | the Alexandria database | PBE | relaxed; values from VASP
! total magnetic moment = 0.00 μB per formula unit
&SYSTEM
  ibrav = 0, nat = 12, ntyp = 2
/
ATOMIC_SPECIES
Os 190.23 Os.upf
C 12.01 C.upf
ATOMIC_POSITIONS crystal
Os 0.7810 0.1017 0.3371
Os 0.7190 0.8983 0.8371
Os 0.2190 0.1017 0.3371
Os 0.2810 0.8983 0.8371
Os 0.0000 0.5662 0.5902
Os 0.5000 0.4338 0.0902
C 0.7909 0.4020 0.6962
C 0.7091 0.5980 0.1962
C 0.2091 0.4020 0.6962
C 0.2909 0.5980 0.1962
C 0.0000 0.0416 0.3453
C 0.5000 0.9584 0.8453
CELL_PARAMETERS angstrom
-7.7741 3.8039 1.3927
-1.3684 -1.8537 -2.5753
-1.2531 -3.8085 3.4071

Relative energies, eV/atom: (a) 0.000; (b) 0.590; (c) 0.200; (d) 0.008.